<one>
Entry from Alexandria: a relaxed structure of CdMoC3 (PBE).

The structure in POSCAR format:
```
CdMoC3
1.0
4.138 0.000 0.000
0.000 4.138 0.000
0.000 0.000 4.138
Cd Mo C
1 1 3
direct
0.000 0.000 0.000
0.500 0.500 0.500
0.000 0.000 0.500
0.000 0.500 0.000
0.500 0.000 0.000
```

Calculated values
As for the space-group type: Pm-3m. The theoretical density is 5.73 g cm⁻³.


<two>
Entry from Alexandria: a relaxed structure of CdMoC3 (PBE).

The structure in POSCAR format:
```
CdMoC3
1.0
4.137 0.000 0.000
0.000 4.137 0.000
0.000 0.000 4.137
Cd Mo C
1 1 3
direct
0.000 0.000 0.000
0.500 0.500 0.500
0.000 0.500 0.500
0.500 0.000 0.500
0.500 0.500 0.000
```

Calculated values
As for the space-group type: Pm-3m. The theoretical density is 5.73 g cm⁻³.


Top of the stability list: <two>, leading by 157.9 kJ/mol of atoms.


<one>
Entry from Alexandria: a relaxed structure of CdC2N2 (PBE).

The structure in POSCAR format:
```
CdC2N2
1.0
6.525 0.000 0.000
0.000 6.525 0.000
0.000 0.000 6.320
Cd C N
2 4 4
direct
0.000 0.000 0.000
0.500 0.500 0.500
0.205 0.205 0.178
0.295 0.705 0.678
0.705 0.295 0.678
0.795 0.795 0.178
0.189 0.811 0.778
0.311 0.311 0.278
0.689 0.689 0.278
0.811 0.189 0.778
```

Calculated values
As for the space-group type: P4_2nm. The theoretical density is 2.03 g cm⁻³.


<two>
Entry from Alexandria: a relaxed structure of CdC2N2 (PBE).

The structure in POSCAR format:
```
CdC2N2
1.0
6.343 0.000 0.000
0.000 6.343 0.000
0.000 0.000 2.695
Cd C N
2 4 4
direct
0.000 0.000 0.000
0.500 0.500 0.000
0.075 0.425 0.000
0.425 0.925 0.000
0.575 0.075 0.000
0.925 0.575 0.000
0.133 0.633 0.500
0.367 0.133 0.500
0.633 0.867 0.500
0.867 0.367 0.500
```

Calculated values
As for the space-group type: P4/mbm. The theoretical density is 5.04 g cm⁻³.


Top of the stability list: <one>, leading by 219.8 kJ/mol of atoms.


<one>
Entry from Alexandria: a relaxed structure of CdC3N (PBE).

The structure in POSCAR format:
```
CdC3N
1.0
4.250 0.000 0.000
0.000 4.250 0.000
0.000 0.000 4.250
Cd C N
1 3 1
direct
0.000 0.000 0.000
0.000 0.000 0.500
0.000 0.500 0.000
0.500 0.000 0.000
0.500 0.500 0.500
```

Calculated values
As for the space-group type: Pm-3m. The theoretical density is 3.51 g cm⁻³.


<two>
Entry from Alexandria: a relaxed structure of CdC3N (PBE).

The structure in POSCAR format:
```
CdC3N
1.0
3.673 0.000 0.000
0.000 3.673 0.000
0.000 0.000 3.673
Cd C N
1 3 1
direct
0.000 0.000 0.000
0.000 0.500 0.500
0.500 0.000 0.500
0.500 0.500 0.000
0.500 0.500 0.500
```

Calculated values
As for the space-group type: Pm-3m. The theoretical density is 5.44 g cm⁻³.


Top of the stability list: <two>, leading by 125.8 kJ/mol of atoms.


<one>
Entry from Alexandria: a relaxed structure of Cd2CN (PBE).

The structure in POSCAR format:
```
Cd2CN
1.0
0.000 3.009 3.009
3.009 0.000 3.009
3.009 3.009 0.000
Cd C N
2 1 1
direct
0.250 0.250 0.250
0.750 0.750 0.750
0.000 0.000 0.000
0.500 0.500 0.500
```

Calculated values
As for the space-group type: Fm-3m. The theoretical density is 7.65 g cm⁻³.


<two>
Entry from Alexandria: a relaxed structure of Cd2CN (PBE).

The structure in POSCAR format:
```
Cd2CN
1.0
-2.752 2.752 4.434
2.752 -2.752 4.434
2.752 2.752 -4.434
Cd C N
4 2 2
direct
0.116 0.625 0.991
0.375 0.366 0.491
0.634 0.125 0.009
0.875 0.884 0.509
0.250 0.750 0.500
0.500 0.500 0.000
0.000 0.000 0.000
0.750 0.250 0.500
```

Calculated values
As for the space-group type: I-42d. The theoretical density is 6.20 g cm⁻³.


Top of the stability list: <two>, leading by 20.1 kJ/mol of atoms.